1.
Below is CsZnFeCuGe after structural relaxation, with properties calculated at the GGA-PBE level.

Lattice parameters (Å, degrees): 3.605 3.745 8.756 90.00 90.00 90.00
Element x y z (fractional)
Cs 0.000 0.000 0.000
Zn 0.500 0.500 0.684
Fe 0.000 0.500 0.480
Cu 0.500 0.000 0.480
Ge 0.500 0.500 0.293

Results
relative energy among the computed polymorphs = 0.000 eV/atom
total magnetic moment = 2.19 μB per cell
energy of formation from the pure elements = 0.298 eV/atom
SG = No. 25


2.
Below is CsZnFeCuGe after structural relaxation, with properties calculated at the GGA-PBE level.

Lattice parameters (Å, degrees): 5.914 3.433 7.325 90.00 113.54 90.00
Element x y z (fractional)
Cs 0.000 0.000 0.000
Zn 0.530 0.500 0.490
Fe 0.243 0.000 0.543
Cu 0.395 0.500 0.787
Ge 0.950 0.500 0.481

Results
relative energy among the computed polymorphs = 0.132 eV/atom
total magnetic moment = 1.90 μB per cell
energy of formation from the pure elements = 0.430 eV/atom
SG = No. 6